1.
A relaxed CsAs2PSe crystal, computed with PBE.

- Raw formation energy: 2.06 eV per atom
- Offset from the most stable computed form: 1812 meV/atom
- Magnetic moment: 1.26 μB per cell
- Crystal system: tetragonal
- Density of states at the Fermi level: 1.31 states/eV/atom

Cell lengths 5.8518, 5.8518, 5.4787 Å; angles 90.00, 90.00, 90.00 degrees
Each line ends with the local moment (μB).
Sites, in units of the cell vectors:
As  0.5000  0.0000  0.0000  0.20
Cs  0.0000  0.0000  0.0000  0.00
As  0.0000  0.5000  0.0000  0.20
Se  0.0000  0.0000  0.5000  0.15
P  0.5000  0.5000  0.5000  0.06



2.
A relaxed Cs2YAsP crystal, computed with PBE.

- Magnetic moment: 1.80 μB per cell
- Crystal system: tetragonal
- ΔH_f (0 K): 0.530 eV/atom
- Density of states at the Fermi level: 1.72 states/eV/atom

Cell lengths 7.1485, 4.7085, 7.1485 Å; angles 90.00, 90.00, 90.00 degrees
Each line ends with the local moment (μB).
Sites, in units of the cell vectors:
Cs  0.5000  0.0000  0.0000  0.02
P  0.0000  0.0000  0.0000  0.06
As  0.0000  0.5000  0.0000  0.02
Y  0.5000  0.5000  0.5000  0.69
Cs  0.0000  0.0000  0.5000  0.02



3.
A relaxed CsZr2AsP crystal, computed with PBE.

- Magnetic moment: 0.00 μB per cell
- Crystal system: tetragonal
- ΔH_f (0 K): 2.242 eV/atom
- Density of states at the Fermi level: 1.32 states/eV/atom

Cell lengths 5.3524, 5.2336, 5.3524 Å; angles 90.00, 90.00, 90.00 degrees
Sites, in units of the cell vectors:
P  0.5000  0.5000  0.5000
Cs  0.0000  0.0000  0.0000
Zr  0.5000  0.0000  0.0000
As  0.0000  0.5000  0.0000
Zr  0.0000  0.0000  0.5000